(1)
Sr3HRh | PBE | optimized geometry

```
Sr3HRh
1.0
-0.6227 -4.1641 -2.8454
3.2136 1.8820 -3.4575
3.8870 -2.2231 2.4027
Sr Rh H
3 1 1
direct
0.0000 0.5000 0.0000 Sr
0.0000 0.0000 0.5000 Sr
0.5000 0.0000 0.0000 Sr
0.5000 0.5000 0.5000 Rh
0.0000 0.0000 0.0000 H
```

Raw total energy   -3.201 eV per atom
Space group   Pm-3m

---

(2)
Ac5LaPr3 | PBE | optimized geometry

```
Ac5LaPr3
1.0
10.2428 -0.2320 1.7367
2.5809 9.9150 1.7367
6.0753 4.5874 9.8322
Ac Pr La
10 6 2
direct
0.5026 0.5026 0.7640 Ac
0.1394 0.6503 0.4682 Ac
0.4974 0.4974 0.2360 Ac
0.3497 0.8606 0.5318 Ac
0.2537 0.7463 0.0000 Ac
0.8408 0.8408 0.9116 Ac
0.8606 0.3497 0.5318 Ac
0.7463 0.2537 0.0000 Ac
0.1592 0.1592 0.0884 Ac
0.6503 0.1394 0.4682 Ac
0.3163 0.3163 0.1872 Pr
0.0000 0.0000 0.0000 Pr
0.3360 0.3360 0.6706 Pr
0.0000 0.0000 0.5000 Pr
0.6640 0.6640 0.3294 Pr
0.6837 0.6837 0.8128 Pr
0.8257 0.8257 0.3993 La
0.1743 0.1743 0.6007 La
```

Raw total energy   -4.041 eV per atom
Space group   C2/m
E_form   8.80 kcal/mol of atoms

---

(3)
LaGaSN2 | PBE | optimized geometry

```
LaGaSN2
1.0
4.1789 0.0000 0.0000
0.0000 4.1789 0.0000
0.0000 0.0000 6.1560
N S La Ga
2 1 1 1
direct
0.0000 0.5000 0.0000 N
0.5000 0.0000 0.0000 N
0.0000 0.0000 0.5000 S
0.0000 0.0000 0.0000 La
0.5000 0.5000 0.5000 Ga
```

Formation energy (no corrections)   675 meV per atom
Raw total energy   -5.071 eV per atom
Space group   P4/mmm

---

(4)
TbSm12Dy2 | PBE | optimized geometry

```
TbSm12Dy2
1.0
1.2248 0.3949 -6.6461
-6.2174 -1.9917 1.7898
-7.5661 23.6272 0.0095
Sm Dy Tb
24 4 2
direct
0.7486 0.7514 0.0758 Sm
0.7514 0.7486 0.9242 Sm
0.5000 0.5000 0.1994 Sm
0.5000 0.5000 0.3255 Sm
0.2511 0.7511 0.8708 Sm
0.5000 0.5000 0.6745 Sm
0.2489 0.7489 0.1292 Sm
0.7730 0.7270 0.4398 Sm
0.0000 0.0000 0.3255 Sm
0.2730 0.2270 0.5602 Sm
0.2270 0.2730 0.4398 Sm
0.5000 0.5000 0.8006 Sm
0.7320 0.2320 0.4147 Sm
0.0000 0.0000 0.8006 Sm
0.7511 0.2511 0.1292 Sm
0.7680 0.2680 0.5853 Sm
0.2320 0.7320 0.5853 Sm
0.2680 0.7680 0.4147 Sm
0.7270 0.7730 0.5602 Sm
0.0000 0.0000 0.1994 Sm
0.2486 0.2514 0.9242 Sm
0.0000 0.0000 0.6745 Sm
0.2514 0.2486 0.0758 Sm
0.7489 0.2489 0.8708 Sm
0.0000 0.5000 0.7339 Dy
0.5000 0.0000 0.7293 Dy
0.5000 0.0000 0.2661 Dy
0.0000 0.5000 0.2707 Dy
0.0000 0.5000 0.0006 Tb
0.5000 0.0000 0.9994 Tb
```

Raw total energy   -4.536 eV per atom
Space group   Cmme
E_form   3.72 kcal/mol of atoms

---

(5)
Sr2ZrTl | PBE | optimized geometry

```
Sr2ZrTl
1.0
-3.4492 -0.4233 1.1277
0.3730 -3.6283 -0.2104
3.1248 -0.2280 9.4720
Zr Sr Tl
1 2 1
direct
0.5000 0.5000 0.7500 Zr
0.0000 0.0000 0.4901 Sr
0.0000 0.0000 0.0099 Sr
0.5000 0.5000 0.2500 Tl
```

Raw total energy   -3.376 eV per atom
Space group   P4/mmm
E_form   4.46 kcal/mol of atoms

---

(6)
ScH | PBE | optimized geometry

```
ScH
1.0
5.4349 0.0000 0.0000
0.0000 5.4281 0.0000
0.0000 0.0000 7.0620
H Sc
8 8
direct
0.6202 0.1247 0.2500 H
0.8798 0.8753 0.7500 H
0.3712 0.1351 0.5069 H
0.1202 0.3753 0.7500 H
0.6288 0.6351 0.9931 H
0.3798 0.6247 0.2500 H
0.8712 0.3649 0.4931 H
0.1288 0.8649 0.0069 H
0.7331 0.4921 0.2462 Sc
0.7669 0.5079 0.7462 Sc
0.2364 0.4857 0.4910 Sc
0.2636 0.5143 0.9910 Sc
0.2669 0.9921 0.2538 Sc
0.7364 0.0143 0.5090 Sc
0.7636 0.9857 0.0090 Sc
0.2331 0.0079 0.7538 Sc
```

Raw total energy   -5.242 eV per atom
Space group   P2_12_12_1

---

(7)
Pr3Er7Tm2 | PBE | optimized geometry

```
Pr3Er7Tm2
1.0
-2.9467 1.8712 -0.6834
-3.0751 -3.6325 3.3130
5.9252 13.7826 12.1890
Tm Pr Er
2 3 7
direct
0.5000 0.5798 0.2916 Tm
0.5000 0.4202 0.7084 Tm
0.0000 0.1427 0.3663 Pr
0.5000 0.5000 0.0000 Pr
0.0000 0.8573 0.6337 Pr
0.5000 0.7186 0.4617 Er
0.5000 0.0194 0.8243 Er
0.0000 0.5481 0.8559 Er
0.0000 0.0000 0.0000 Er
0.5000 0.9806 0.1757 Er
0.0000 0.4519 0.1441 Er
0.5000 0.2814 0.5383 Er
```

Raw total energy   -4.512 eV per atom
Space group   P2/m
E_form   2.07 kcal/mol of atoms

---

(8)
SbHPtI2 | PBE | optimized geometry

```
SbHPtI2
1.0
-5.7500 0.4343 0.1276
-0.4374 -4.9131 -2.9897
-0.1018 -2.6140 4.3107
H I Sb Pt
1 2 1 1
direct
0.5000 0.5000 0.5000 H
0.0000 0.5000 0.0000 I
0.5000 0.0000 0.0000 I
0.0000 0.0000 0.5000 Sb
0.0000 0.0000 0.0000 Pt
```

Raw total energy   -2.740 eV per atom
Space group   P4/mmm

---

Repeat the sixth record exactly.
ScH | PBE | optimized geometry

```
ScH
1.0
5.4349 0.0000 0.0000
0.0000 5.4281 0.0000
0.0000 0.0000 7.0620
H Sc
8 8
direct
0.6202 0.1247 0.2500 H
0.8798 0.8753 0.7500 H
0.3712 0.1351 0.5069 H
0.1202 0.3753 0.7500 H
0.6288 0.6351 0.9931 H
0.3798 0.6247 0.2500 H
0.8712 0.3649 0.4931 H
0.1288 0.8649 0.0069 H
0.7331 0.4921 0.2462 Sc
0.7669 0.5079 0.7462 Sc
0.2364 0.4857 0.4910 Sc
0.2636 0.5143 0.9910 Sc
0.2669 0.9921 0.2538 Sc
0.7364 0.0143 0.5090 Sc
0.7636 0.9857 0.0090 Sc
0.2331 0.0079 0.7538 Sc
```

Raw total energy   -5.242 eV per atom
Space group   P2_12_12_1

---

Q: The highest raw total energy belongs to which entry?
A: SbHPtI2